Record 1
Material: MoRhBr2
Method: DFT, GGA-PBE
State: relaxed

Geometry as CIF:
```
data_MoRhBr2
_cell_length_a 3.1160
_cell_length_b 3.4560
_cell_length_c 17.5334
_cell_angle_alpha 90.00
_cell_angle_beta 90.00
_cell_angle_gamma 90.00
_symmetry_space_group_name_H-M 'I m m 2'
_symmetry_Int_Tables_number 44
loop_
_symmetry_equiv_pos_as_xyz
'x,y,z'
'-x,-y,z'
'-x,y,z'
'x,-y,z'
'x+1/2,y+1/2,z+1/2'
'-x+1/2,-y+1/2,z+1/2'
'-x+1/2,y+1/2,z+1/2'
'x+1/2,-y+1/2,z+1/2'
loop_
_atom_site_label
_atom_site_type_symbol
_atom_site_fract_x
_atom_site_fract_y
_atom_site_fract_z
Mo1 Mo 0.0000 0.0000 0.0000
Rh1 Rh 0.0000 0.5000 0.9092
Br1 Br 0.0000 0.0000 0.5936
Br2 Br 0.0000 0.5000 0.3059
```

Calculated values
raw formation energy: 1.2 eV per formula unit
polymorph energy (0 for the lowest one): 0.3115 eV per atom

Record 2
Material: ScCrP3
Method: DFT, GGA-PBE
State: relaxed

Geometry as CIF:
```
data_ScCrP3
_cell_length_a 4.4591
_cell_length_b 4.4591
_cell_length_c 4.4591
_cell_angle_alpha 90.00
_cell_angle_beta 90.00
_cell_angle_gamma 90.00
_symmetry_space_group_name_H-M 'P m -3 m'
_symmetry_Int_Tables_number 221
_symmetry_space_group_name_Hall '-P 4 2 3'
loop_
_atom_site_label
_atom_site_type_symbol
_atom_site_fract_x
_atom_site_fract_y
_atom_site_fract_z
Sc1 Sc 0.0000 0.0000 0.0000
Cr1 Cr 0.5000 0.5000 0.5000
P1 P 0.0000 0.5000 0.5000
```

Calculated values
energy of formation from the pure elements: 55 meV/atom
polymorph energy (0 for the lowest one): 0.0000 eV per atom

Record 3
Material: NbRhI2O
Method: DFT, GGA-PBE
State: relaxed

Geometry as CIF:
```
data_NbRhI2O
_cell_length_a 5.5677
_cell_length_b 5.5677
_cell_length_c 3.8538
_cell_angle_alpha 90.00
_cell_angle_beta 90.00
_cell_angle_gamma 90.00
_symmetry_space_group_name_H-M 'P 4/m m m'
_symmetry_Int_Tables_number 123
_symmetry_space_group_name_Hall '-P 4 2'
loop_
_atom_site_label
_atom_site_type_symbol
_atom_site_fract_x
_atom_site_fract_y
_atom_site_fract_z
Nb1 Nb 0.0000 0.0000 0.0000
Rh1 Rh 0.5000 0.5000 0.5000
I1 I 0.0000 0.5000 0.0000
O1 O 0.0000 0.0000 0.5000
```

Calculated values
raw formation energy: -0.3 eV per formula unit
polymorph energy (0 for the lowest one): 0.0000 eV per atom

Record 4
Material: Ti12Ir2Rh5
Method: DFT, GGA-PBE
State: relaxed

Geometry as CIF:
```
data_Ti12Ir2Rh5
_cell_length_a 13.2949
_cell_length_b 6.3673
_cell_length_c 7.9197
_cell_angle_alpha 90.00
_cell_angle_beta 97.72
_cell_angle_gamma 90.00
_symmetry_space_group_name_H-M 'C 1 2/m 1'
_symmetry_Int_Tables_number 12
loop_
_symmetry_equiv_pos_as_xyz
'x,y,z'
'-x,-y,-z'
'-x,y,-z'
'x,-y,z'
'x+1/2,y+1/2,z'
'-x+1/2,-y+1/2,-z'
'-x+1/2,y+1/2,-z'
'x+1/2,-y+1/2,z'
loop_
_atom_site_label
_atom_site_type_symbol
_atom_site_fract_x
_atom_site_fract_y
_atom_site_fract_z
Ti1 Ti 0.0141 0.0000 0.3029
Ti2 Ti 0.0784 0.5000 0.8413
Ti3 Ti 0.1354 0.2269 0.5659
Ti4 Ti 0.1816 0.2488 0.1436
Ir1 Ir 0.0000 0.2085 0.0000
Rh1 Rh 0.0000 0.5000 0.5000
Rh2 Rh 0.1770 0.0000 0.8803
Rh3 Rh 0.2317 0.0000 0.3779
```

Calculated values
energy of formation from the pure elements: -319 meV/atom

Record 5
Material: LaTb4Nd2Er
Method: DFT, GGA-PBE
State: relaxed

Geometry as CIF:
```
data_LaTb4Nd2Er
_cell_length_a 5.1017
_cell_length_b 5.1220
_cell_length_c 10.1788
_cell_angle_alpha 90.00
_cell_angle_beta 90.00
_cell_angle_gamma 90.00
_symmetry_space_group_name_H-M 'P m m m'
_symmetry_Int_Tables_number 47
loop_
_symmetry_equiv_pos_as_xyz
'x,y,z'
'-x,-y,-z'
'-x,-y,z'
'x,y,-z'
'x,-y,-z'
'-x,y,z'
'-x,y,-z'
'x,-y,z'
loop_
_atom_site_label
_atom_site_type_symbol
_atom_site_fract_x
_atom_site_fract_y
_atom_site_fract_z
La1 La 0.0000 0.0000 0.0000
Tb1 Tb 0.0000 0.5000 0.2544
Tb2 Tb 0.5000 0.0000 0.2541
Nd1 Nd 0.0000 0.0000 0.5000
Nd2 Nd 0.5000 0.5000 0.0000
Er1 Er 0.5000 0.5000 0.5000
```

Calculated values
energy of formation from the pure elements: 21 meV/atom

Record 6
Material: Pm4TlGaN
Method: DFT, GGA-PBE
State: relaxed

Geometry as CIF:
```
data_Pm4TlGaN
_cell_length_a 6.9102
_cell_length_b 15.7858
_cell_length_c 6.9209
_cell_angle_alpha 90.00
_cell_angle_beta 90.00
_cell_angle_gamma 90.00
_symmetry_space_group_name_H-M 'C m c m'
_symmetry_Int_Tables_number 63
_symmetry_space_group_name_Hall '-C 2c 2'
loop_
_atom_site_label
_atom_site_type_symbol
_atom_site_fract_x
_atom_site_fract_y
_atom_site_fract_z
Pm1 Pm 0.0000 0.0785 0.2500
Pm2 Pm 0.0000 0.4132 0.2500
Pm3 Pm 0.2500 0.2500 0.0000
Tl1 Tl 0.0000 0.3882 0.7500
Ga1 Ga 0.0000 0.1190 0.7500
N1 N 0.0000 0.2508 0.2500
```

Calculated values
raw formation energy: -4.6 eV per formula unit

> Number 6 is which compound?

Pm4TlGaN